# MgBeNi2Cl (SCAN, single point on PBEsol structure)
data_MgBeNi2Cl
_cell_length_a 3.949
_cell_length_b 3.949
_cell_length_c 4.601
_cell_angle_alpha 90.00
_cell_angle_beta 90.00
_cell_angle_gamma 90.00
_symmetry_space_group_name_H-M 'P 4/m m m'
_symmetry_Int_Tables_number 123
_symmetry_space_group_name_Hall '-P 4 2'
loop_
_atom_site_label
_atom_site_type_symbol
_atom_site_fract_x
_atom_site_fract_y
_atom_site_fract_z
_atom_site_occupancy
Mg1 Mg 0.000 0.000 0.000 1
Be1 Be 0.500 0.500 0.500 1
Ni1 Ni 0.000 0.500 0.500 1
Cl1 Cl 0.500 0.500 0.000 1
# - D(E_F) (states/eV/cell) = 1.25
# - calculated total energy (eV per formula unit) = -48.0
# - ρ (g/cm3) = 4.31
# - excess energy over the best structure of this formula in the dataset (meV per atom) = 0